[1]
{"formula": "IrRuAu2", "functional": "SCAN", "state": "PBEsol geometry", "polymorph_energy_ev_per_atom": 0.054, "dos_ef_per_ev_cell": 3.48, "total_magnetization_mub_per_cell": 1.52, "formation_energy_ev_per_atom": 0.49, "lattice": [[2.7191, 0.0000, 0.0000], [0.0000, 4.7849, 0.0000], [-0.0033, 0.0000, 4.7583]], "species": ["Ir", "Ru", "Au", "Au"], "frac_coords": [[0.0000, 0.0000, 0.0000], [0.5000, 0.0000, 0.5000], [0.2474, 0.5000, 0.2508], [0.7526, 0.5000, 0.7492]]}


[2]
{"formula": "LiTaPt2N", "functional": "SCAN", "state": "PBEsol geometry", "dos_ef_per_ev_cell": 4.23, "raw_formation_energy_ev_per_atom": 0.422, "total_magnetization_mub_per_cell": 0.00, "lattice": [[4.9437, 0.0000, 0.0000], [0.0000, 4.9437, 0.0000], [0.0000, 0.0000, 3.9485]], "species": ["Li", "Ta", "Pt", "Pt", "N"], "frac_coords": [[0.0000, 0.0000, 0.0000], [0.5000, 0.5000, 0.5000], [0.0000, 0.5000, 0.5000], [0.5000, 0.0000, 0.5000], [0.5000, 0.5000, 0.0000]]}